# 1
Crystalline SrGaIrRu2 at its relaxed geometry. Source: Alexandria, functional PBE.

Cell: 4.8121 4.8121 4.7191 Å, 90.00 90.00 90.00°
Last column: nearest neighbours and their distance in Å.
Atoms (fractional coordinates):
Ru (0.0000, 0.5000, 0.0000)  2 Ir 2.41
Ru (0.5000, 0.0000, 0.0000)  2 Ir 2.41
Ga (0.0000, 0.0000, 0.5000)  2 Ir 2.36
Sr (0.5000, 0.5000, 0.5000)  8 Ru 3.37, 4 Ga 3.40
Ir (0.0000, 0.0000, 0.0000)  2 Ga 2.36, 4 Ru 2.41

Output
- ΔE_f: 0.612 eV/atom

=====

# 2
Crystalline CeThSb at its relaxed geometry. Source: Alexandria, functional PBE.

Cell: 5.7668 5.7668 12.6471 Å, 90.00 90.00 120.00°
Last column: nearest neighbours and their distance in Å.
Atoms (fractional coordinates):
Th (0.0000, 0.0000, 0.0000)  2 Ce 3.16, 6 Sb 3.33
Th (0.0000, 0.0000, 0.5000)  2 Ce 3.16, 6 Sb 3.33
Th (0.6667, 0.3333, 0.7500)  2 Sb 3.21, 6 Ce 3.33
Th (0.3333, 0.6667, 0.2500)  2 Sb 3.21, 6 Ce 3.33
Ce (0.6667, 0.3333, 0.2500)  2 Sb 3.11, 3 Ce 3.33, 3 Th 3.33
Ce (0.0000, 0.0000, 0.7500)  5 Th 3.16-3.33, 3 Ce 3.33
Ce (0.3333, 0.6667, 0.7500)  2 Sb 3.11, 3 Ce 3.33, 3 Th 3.33
Ce (0.0000, 0.0000, 0.2500)  5 Th 3.16-3.33, 3 Ce 3.33
Sb (0.3333, 0.6667, 0.9960)  1 Ce 3.11, 4 Th 3.21-3.33, 3 Sb 3.33
Sb (0.6667, 0.3333, 0.0040)  1 Ce 3.11, 4 Th 3.21-3.33, 3 Sb 3.33
Sb (0.3333, 0.6667, 0.5040)  1 Ce 3.11, 4 Th 3.21-3.33, 3 Sb 3.33
Sb (0.6667, 0.3333, 0.4960)  1 Ce 3.11, 4 Th 3.21-3.33, 3 Sb 3.33

Output
- Formation energy (no corrections): 0.013 eV per atom

=====

# 3
Crystalline Ce2HfPb at its relaxed geometry. Source: Alexandria, functional PBE.

Cell: 4.1654 4.1654 6.4045 Å, 90.00 90.00 90.00°
Last column: nearest neighbours and their distance in Å.
Atoms (fractional coordinates):
Ce (0.0000, 0.0000, 0.2352)  1 Ce 3.01, 4 Pb 3.31
Ce (0.0000, 0.0000, 0.7648)  1 Ce 3.01, 4 Pb 3.31
Hf (0.5000, 0.5000, 0.5000)  2 Pb 3.20, 8 Ce 3.40
Pb (0.5000, 0.5000, 0.0000)  2 Hf 3.20, 8 Ce 3.31

Output
- Energy above the most stable polymorph in this dataset: 0.52 eV/f.u.
- ΔE_f: -0.002 eV/atom

=====

# 4
Crystalline MgZn2HPd at its relaxed geometry. Source: Alexandria, functional PBE.

Cell: 4.0093 4.0093 3.9950 Å, 90.00 90.00 90.00°
Last column: nearest neighbours and their distance in Å.
Atoms (fractional coordinates):
H (0.0000, 0.0000, 0.0000)  2 Mg 2.00, 4 Zn 2.00
Mg (0.0000, 0.0000, 0.5000)  2 H 2.00
Zn (0.5000, 0.0000, 0.0000)  2 H 2.00
Zn (0.0000, 0.5000, 0.0000)  2 H 2.00
Pd (0.5000, 0.5000, 0.5000)  8 Zn 2.83, 4 Mg 2.83

Output
- Energy above the most stable polymorph in this dataset: 0.00 eV/f.u.

=====

# 5
Crystalline KSiP2Cl at its relaxed geometry. Source: Alexandria, functional PBE.

Cell: 6.0159 6.0159 5.4412 Å, 90.00 90.00 90.00°
Last column: nearest neighbours and their distance in Å.
Atoms (fractional coordinates):
Si (0.5000, 0.5000, 0.5000)  8 P 4.06, 4 Cl 4.25
Cl (0.0000, 0.0000, 0.5000)  2 K 2.72
P (0.5000, 0.0000, 0.0000)  2 K 3.01
P (0.0000, 0.5000, 0.0000)  2 K 3.01
K (0.0000, 0.0000, 0.0000)  2 Cl 2.72, 4 P 3.01

Output
- Energy above the most stable polymorph in this dataset: 8.00 eV/f.u.
- Formation energy (no corrections): 1.500 eV per atom

=====

# 6
Crystalline Cs2TiGaO4 at its relaxed geometry. Source: Alexandria, functional PBE.

Cell: 5.3975 7.0823 11.5406 Å, 84.89 76.48 67.60°
Last column: nearest neighbours and their distance in Å.
Atoms (fractional coordinates):
Cs (0.5768, 0.5000, 0.8465)  8 O 3.35-3.69
Cs (0.8268, 0.0000, 0.3465)  8 O 3.35-3.69
Cs (0.1732, 0.0000, 0.6535)  8 O 3.35-3.69
Cs (0.9232, 0.5000, 0.1535)  8 O 3.35-3.69
O (0.8847, 0.8483, 0.9156)  1 Ti 1.86, 1 Ga 1.99
O (0.1997, 0.1517, 0.9156)  1 Ti 1.86, 1 Ga 1.99
O (0.8653, 0.6517, 0.5844)  1 Ti 1.86, 1 Ga 1.99
O (0.4830, 0.6517, 0.4156)  1 Ti 1.86, 1 Ga 1.99
O (0.6486, 0.1517, 0.0844)  1 Ti 1.86, 1 Ga 1.99
O (0.5503, 0.3483, 0.5844)  1 Ti 1.86, 1 Ga 1.99
O (0.1014, 0.3483, 0.4156)  1 Ti 1.86, 1 Ga 1.99
O (0.2670, 0.8483, 0.0844)  1 Ti 1.86, 1 Ga 1.99
Ga (0.5000, 0.0000, 0.0000)  4 O 1.99
Ga (0.2500, 0.5000, 0.5000)  4 O 1.99
Ti (0.0000, 0.0000, 0.0000)  4 O 1.86
Ti (0.7500, 0.5000, 0.5000)  4 O 1.86

Output
- Formation energy (no corrections): -1.983 eV per atom

=====

# 7
Crystalline Fe2HgMo at its relaxed geometry. Source: Alexandria, functional PBE.

Cell: 4.4157 4.4157 4.4157 Å, 60.00 60.00 60.00°
Last column: nearest neighbours and their distance in Å.
Atoms (fractional coordinates):
Mo (0.7500, 0.7500, 0.7500)  4 Hg 2.70, 4 Fe 2.70
Hg (0.5000, 0.5000, 0.5000)  4 Mo 2.70, 4 Fe 2.70
Fe (0.0000, 0.0000, 0.0000)  4 Mo 2.70, 4 Fe 2.70
Fe (0.2500, 0.2500, 0.2500)  4 Hg 2.70, 4 Fe 2.70

Output
- ΔE_f: 0.570 eV/atom

=====

# 8
Crystalline Nd3Ga4Ni2 at its relaxed geometry. Source: Alexandria, functional PBE.

Cell: 4.3228 5.8395 8.5618 Å, 109.04 90.00 111.72°
Last column: nearest neighbours and their distance in Å.
Atoms (fractional coordinates):
Ga (0.7369, 0.4737, 0.0827)  1 Ni 2.51, 2 Ga 2.65
Ga (0.0285, 0.0570, 0.3591)  2 Ni 2.52, 1 Ga 2.69
Ga (0.9715, 0.9430, 0.6409)  2 Ni 2.52, 1 Ga 2.69
Ga (0.2631, 0.5263, 0.9173)  1 Ni 2.51, 2 Ga 2.65
Ni (0.6017, 0.2034, 0.2685)  3 Ga 2.51-2.52
Ni (0.3983, 0.7966, 0.7315)  3 Ga 2.51-2.52
Nd (0.0000, 0.0000, 0.0000)  8 Ga 2.98-3.24, 4 Ni 3.06
Nd (0.6778, 0.3555, 0.6435)  4 Ni 3.02-3.37, 7 Ga 3.08-3.23
Nd (0.3222, 0.6445, 0.3565)  4 Ni 3.02-3.37, 7 Ga 3.08-3.23

Output
- Energy above the most stable polymorph in this dataset: 0.00 eV/f.u.
- ΔE_f: -0.585 eV/atom

=====

# 9
Crystalline Cs2Sn5Pb4 at its relaxed geometry. Source: Alexandria, functional PBE.

Cell: 7.0708 6.9305 10.3810 Å, 80.00 70.09 59.33°
Last column: nearest neighbours and their distance in Å.
Atoms (fractional coordinates):
Pb (0.4927, 0.2895, 0.7250)  5 Sn 3.09-3.45, 1 Pb 3.45
Pb (0.2177, 0.2895, 0.2750)  5 Sn 3.09-3.45, 1 Pb 3.45
Pb (0.5073, 0.7105, 0.2750)  5 Sn 3.09-3.45, 1 Pb 3.45
Pb (0.7823, 0.7105, 0.7250)  5 Sn 3.09-3.45, 1 Pb 3.45
Cs (0.1296, 0.0000, 0.7409)  6 Pb 3.94-4.24, 10 Sn 4.19-4.35
Cs (0.8704, 0.0000, 0.2591)  6 Pb 3.94-4.24, 10 Sn 4.19-4.35
Sn (0.7500, 0.5000, 0.5000)  4 Pb 3.09
Sn (0.0000, 0.5000, 0.0000)  4 Pb 3.45, 4 Sn 3.47-3.54
Sn (0.5000, 0.0000, 0.0000)  4 Pb 3.19, 4 Sn 3.47
Sn (0.5000, 0.5000, 0.0000)  4 Pb 3.45, 4 Sn 3.47-3.54
Sn (0.2500, 0.5000, 0.5000)  4 Pb 3.09

Output
- ΔE_f: -0.023 eV/atom

=====

# 10
Crystalline Zn5CoPt at its relaxed geometry. Source: Alexandria, functional PBE.

Cell: 8.0894 8.0894 8.0809 Å, 41.49 41.49 67.53°
Last column: nearest neighbours and their distance in Å.
Atoms (fractional coordinates):
Zn (0.7792, 0.2988, 0.5203)  1 Co 2.43, 1 Pt 2.60, 3 Zn 2.64-2.70
Zn (0.2101, 0.7899, 0.7500)  1 Pt 2.58, 6 Zn 2.60-2.78, 2 Co 2.77
Zn (0.8014, 0.7306, 0.6002)  2 Co 2.45-2.46, 2 Pt 2.57, 4 Zn 2.60-2.73
Zn (0.7899, 0.2101, 0.2500)  1 Pt 2.58, 6 Zn 2.60-2.78, 2 Co 2.77
Zn (0.2988, 0.7792, 0.0203)  1 Co 2.43, 1 Pt 2.60, 3 Zn 2.64-2.70
Zn (0.2208, 0.7012, 0.4797)  1 Co 2.43, 1 Pt 2.60, 3 Zn 2.64-2.70
Zn (0.7012, 0.2208, 0.9797)  1 Co 2.43, 1 Pt 2.60, 3 Zn 2.64-2.70
Zn (0.1986, 0.2694, 0.3998)  2 Co 2.45-2.46, 2 Pt 2.57, 4 Zn 2.60-2.73
Zn (0.7306, 0.8014, 0.1002)  2 Co 2.45-2.46, 2 Pt 2.57, 4 Zn 2.60-2.73
Zn (0.2694, 0.1986, 0.8998)  2 Co 2.45-2.46, 2 Pt 2.57, 4 Zn 2.60-2.73
Co (0.0000, 0.0000, 0.5000)  6 Zn 2.43-2.46
Co (0.0000, 0.0000, 0.0000)  6 Zn 2.43-2.46
Pt (0.4966, 0.5034, 0.7500)  7 Zn 2.57-2.60
Pt (0.5034, 0.4966, 0.2500)  7 Zn 2.57-2.60

Output
- ΔE_f: -0.074 eV/atom

=====

# 11
Crystalline Pr2SmAl at its relaxed geometry. Source: Alexandria, functional PBE.

Cell: 5.5257 5.5257 5.5257 Å, 60.00 60.00 60.00°
Last column: nearest neighbours and their distance in Å.
Atoms (fractional coordinates):
Sm (0.0000, 0.0000, 0.0000)  8 Pr 3.38
Pr (0.2500, 0.2500, 0.2500)  4 Sm 3.38, 4 Al 3.38
Pr (0.7500, 0.7500, 0.7500)  4 Al 3.38, 4 Sm 3.38
Al (0.5000, 0.5000, 0.5000)  8 Pr 3.38

Output
- Energy above the most stable polymorph in this dataset: 0.57 eV/f.u.
- ΔE_f: -0.032 eV/atom

=====

# 12
Crystalline PmNdSmHg at its relaxed geometry. Source: Alexandria, functional PBE.

Cell: 5.5343 5.5343 5.5343 Å, 60.00 60.00 60.00°
Last column: nearest neighbours and their distance in Å.
Atoms (fractional coordinates):
Nd (0.7500, 0.7500, 0.7500)  4 Hg 3.39, 4 Pm 3.39
Sm (0.2500, 0.2500, 0.2500)  4 Hg 3.39, 4 Pm 3.39
Hg (0.5000, 0.5000, 0.5000)  4 Nd 3.39, 4 Sm 3.39
Pm (0.0000, 0.0000, 0.0000)  4 Nd 3.39, 4 Sm 3.39

Output
- Energy above the most stable polymorph in this dataset: 0.69 eV/f.u.
- ΔE_f: -0.057 eV/atom